No. 1
An optimized crystal structure of Co3PPt. Source: Alexandria, functional PBE.

DOS at the Fermi energy   1.0146 states/eV/atom
Relative energy among the computed polymorphs   0 meV/atom
Electronic total energy   -6.264 eV/atom
Magnetic moment   4.189 μB per cell
Theoretical density   9.65 g/cm3
E_form   0.29 eV/atom

Geometry as CIF:
```
data_Co3PPt
_chemical_formula_sum 'Co3 P1 Pt1'
_cell_length_a 4.1078
_cell_length_b 4.1078
_cell_length_c 4.1078
_cell_angle_alpha 90.00
_cell_angle_beta 90.00
_cell_angle_gamma 90.00
_space_group_name_H-M_alt 'P m -3 m'
_space_group_IT_number 221
_space_group_name_Hall '-P 4 2 3'
loop_
_atom_site_label
_atom_site_fract_x
_atom_site_fract_y
_atom_site_fract_z
Co1 0.0000 0.0000 0.5000
P1 0.0000 0.0000 0.0000
Pt1 0.5000 0.5000 0.5000
```


No. 2
An optimized crystal structure of Ho3Al8Cu3. Source: Alexandria, functional PBE.

DOS at the Fermi energy   0.5136 states/eV/atom
Electronic total energy   -4.402 eV/atom
Magnetic moment   0.000 μB per cell
Theoretical density   5.94 g/cm3
E_form   -0.40 eV/atom

Geometry as CIF:
```
data_Ho3Al8Cu3
_chemical_formula_sum 'Ho6 Al16 Cu6'
_cell_length_a 15.5847
_cell_length_b 4.2792
_cell_length_c 9.4649
_cell_angle_alpha 90.00
_cell_angle_beta 127.06
_cell_angle_gamma 90.00
_space_group_name_H-M_alt 'C 1 2/m 1'
_space_group_IT_number 12
_space_group_name_Hall '-C 2y'
loop_
_atom_site_label
_atom_site_fract_x
_atom_site_fract_y
_atom_site_fract_z
Ho1 0.0000 0.0000 0.0000
Ho2 0.2038 0.5000 0.6989
Al1 0.0018 0.5000 0.3159
Al2 0.1387 0.0000 0.8544
Al3 0.1462 0.0000 0.4236
Al4 0.1534 0.5000 0.0355
Cu1 0.0000 0.0000 0.5000
Cu2 0.1536 0.5000 0.2958
```


No. 3
An optimized crystal structure of UMn2Tl3Se6. Source: Alexandria, functional PBE.

DOS at the Fermi energy   0.1080 states/eV/atom
Formation energy from raw total energies   -7.52 eV per formula unit
Electronic total energy   -5.429 eV/atom
Magnetic moment   17.974 μB per cell
Theoretical density   7.47 g/cm3

Geometry as CIF:
```
data_UMn2Tl3Se6
_chemical_formula_sum 'U2 Mn4 Tl6 Se12'
_cell_length_a 6.8567
_cell_length_b 11.8788
_cell_length_c 8.1546
_cell_angle_alpha 90.00
_cell_angle_beta 106.28
_cell_angle_gamma 90.00
_space_group_name_H-M_alt 'C 1 2/m 1'
_space_group_IT_number 12
_space_group_name_Hall '-C 2y'
loop_
_atom_site_label
_atom_site_fract_x
_atom_site_fract_y
_atom_site_fract_z
U1 0.0000 0.0000 0.0000
Mn1 0.0000 0.3331 0.0000
Tl1 0.0000 0.1648 0.5000
Tl2 0.0000 0.5000 0.5000
Se1 0.2275 0.5000 0.1953
Se2 0.2335 0.1686 0.1950
```


electronic total energy of number 2 (Ho3Al8Cu3)?
-4.402 eV/atom


theoretical density of number 1 (Co3PPt)?
9.65 g/cm3